1.
Below is Ba2CaBe after structural relaxation, with properties calculated at the PBE level.

Values from the calculation:
The volume comes out at 40.2 A^3/atom. As for the magnetic moment: 0.001 μB per formula unit. The raw total energy is -2.095 eV/atom. As for the crystal system: tetragonal.

Cell lengths 3.9336, 3.9336, 10.3956 Å; angles 90.00, 90.00, 90.00 degrees
Positions (direct):
Ca1 0.5000 0.5000 0.6674
Ba1 0.5000 0.5000 0.3313
Ba2 0.0000 0.0000 0.9722
Be1 0.0000 0.0000 0.5290


2.
Below is Ba2GaGe3 after structural relaxation, with properties calculated at the PBE level.

Values from the calculation:
The volume comes out at 28.7 A^3/atom. As for the magnetic moment: 0.000 μB per formula unit. The raw total energy is -3.950 eV/atom. The calculation puts the energy above the most stable polymorph in this dataset at 0 meV per atom. As for the crystal system: orthorhombic.

Cell lengths 6.7157, 6.7157, 9.1408 Å; angles 113.77, 113.77, 84.42 degrees
Positions (direct):
Ba1 0.2500 0.7500 0.5000
Ba2 0.7500 0.2500 0.5000
Ba3 0.2418 0.2418 0.0000
Ba4 0.7582 0.7582 0.0000
Ge1 0.1680 0.1680 0.3360
Ge2 0.6603 0.1717 0.8320
Ge3 0.1717 0.6603 0.8320
Ge4 0.8320 0.8320 0.6640
Ge5 0.3397 0.8283 0.1680
Ge6 0.8283 0.3397 0.1680
Ga1 0.3346 0.3346 0.6692
Ga2 0.6654 0.6654 0.3308


3.
Below is Pr2Dy3ThS6 after structural relaxation, with properties calculated at the PBE level.

Values from the calculation:
The volume comes out at 22.5 A^3/atom. Its uncorrected formation energy is -1.971 eV/atom. As for the magnetic moment: 0.000 μB per formula unit. The raw total energy is -6.600 eV/atom. As for the crystal system: monoclinic.

Cell lengths 3.9646, 8.0564, 8.9871 Å; angles 104.56, 102.74, 90.00 degrees
Positions (direct):
Dy1 0.8329 0.1653 0.6659
Dy2 0.1671 0.8347 0.3341
Dy3 0.5000 0.5000 0.0000
Pr1 0.8351 0.6698 0.6703
Pr2 0.1649 0.3302 0.3297
S1 0.0051 0.7425 0.0103
S2 0.6635 0.5940 0.3270
S3 0.3365 0.4060 0.6730
S4 0.9949 0.2575 0.9897
S5 0.3299 0.9280 0.6599
S6 0.6701 0.0720 0.3401
Th1 0.5000 0.0000 0.0000


4.
Below is FeHgRh2 after structural relaxation, with properties calculated at the PBE level.

Values from the calculation:
The volume comes out at 15.5 A^3/atom. As for the magnetic moment: 3.960 μB per formula unit. The raw total energy is -5.657 eV/atom. As for the crystal system: monoclinic.

Cell lengths 4.8349, 4.8349, 4.7780 Å; angles 78.68, 78.68, 34.67 degrees
Each line ends with the local moment (μB).
Positions (direct):
Rh1 0.7527 0.7527 0.7385  0.42
Rh2 0.0070 0.0070 0.9828  0.50
Fe1 0.4915 0.4915 0.5325  3.05
Hg1 0.2488 0.2488 0.2462  -0.01


5.
Below is Nd14SmMg after structural relaxation, with properties calculated at the PBE level.

Values from the calculation:
The volume comes out at 34.3 A^3/atom. As for the magnetic moment: 0.000 μB per formula unit. The raw total energy is -4.560 eV/atom. As for the crystal system: tetragonal.

Cell lengths 7.2854, 7.2854, 10.3506 Å; angles 90.00, 90.00, 89.99 degrees
Positions (direct):
Nd1 0.3752 0.1255 0.0000
Nd2 0.1260 0.8740 0.2468
Nd3 0.1260 0.8740 0.7532
Nd4 0.8753 0.1247 0.5000
Nd5 0.6241 0.8741 0.7529
Nd6 0.6240 0.3760 0.2475
Nd7 0.8745 0.6248 0.0000
Nd8 0.6241 0.8741 0.2471
Nd9 0.1259 0.3759 0.2471
Nd10 0.6240 0.3760 0.7525
Nd11 0.8753 0.6250 0.5000
Nd12 0.3750 0.6250 0.5000
Nd13 0.1259 0.3759 0.7529
Nd14 0.3750 0.1247 0.5000
Sm1 0.8749 0.1251 0.0000
Mg1 0.3746 0.6254 0.0000


6.
Below is Cd2OsSe after structural relaxation, with properties calculated at the PBE level.

Values from the calculation:
The volume comes out at 18.6 A^3/atom. Its uncorrected formation energy is 0.657 eV/atom. As for the magnetic moment: 0.000 μB per formula unit. The raw total energy is -3.479 eV/atom. As for the crystal system: orthorhombic.

Cell lengths 3.4095, 4.6912, 4.6457 Å; angles 90.00, 90.00, 90.00 degrees
Positions (direct):
Cd1 0.0000 0.0000 0.0000
Cd2 0.5000 0.5000 0.0000
Se1 0.0000 0.5000 0.5000
Os1 0.5000 0.0000 0.5000


7.
Below is FePC2 after structural relaxation, with properties calculated at the PBE level.

Values from the calculation:
The volume comes out at 10.9 A^3/atom. As for the magnetic moment: 0.659 μB per formula unit. The raw total energy is -7.332 eV/atom. As for the crystal system: monoclinic.

Cell lengths 4.0846, 2.8777, 4.2830 Å; angles 90.00, 120.15, 90.00 degrees
Each line ends with the local moment (μB).
Positions (direct):
Fe1 0.7075 0.0000 0.2193  0.68
C1 0.4076 0.5000 0.1951  -0.03
C2 0.1686 0.5000 0.3546  0.01
P1 0.4531 0.0000 0.6309  0.00


8.
Below is TbGa3CuRh after structural relaxation, with properties calculated at the PBE level.

Values from the calculation:
The volume comes out at 18.1 A^3/atom. As for the magnetic moment: 0.000 μB per formula unit. The raw total energy is -4.554 eV/atom. As for the crystal system: orthorhombic.

Cell lengths 5.8541, 6.1022, 6.7993 Å; angles 116.66, 90.00, 90.00 degrees
Positions (direct):
Ga1 0.0000 0.7088 0.0000
Ga2 0.5000 0.2912 0.0000
Ga3 0.7500 0.8464 0.6928
Ga4 0.5000 0.7088 0.0000
Ga5 0.0000 0.2912 0.0000
Ga6 0.2500 0.1536 0.3072
Tb1 0.7500 0.2835 0.5670
Tb2 0.2500 0.7165 0.4330
Cu1 0.7500 0.0592 0.1184
Cu2 0.2500 0.9408 0.8816
Rh1 0.2500 0.3581 0.7161
Rh2 0.7500 0.6419 0.2839


9.
Below is Ta2NbAsW after structural relaxation, with properties calculated at the PBE level.

Values from the calculation:
The volume comes out at 22.9 A^3/atom. As for the magnetic moment: 0.000 μB per formula unit. The raw total energy is -8.430 eV/atom. As for the crystal system: tetragonal.

Cell lengths 4.9088, 4.7599, 4.9088 Å; angles 90.00, 90.00, 90.00 degrees
Positions (direct):
As1 0.5000 0.5000 0.5000
Nb1 0.0000 0.0000 0.0000
W1 0.0000 0.5000 0.0000
Ta1 0.0000 0.0000 0.5000
Ta2 0.5000 0.0000 0.0000


10.
Below is Tb4Cd after structural relaxation, with properties calculated at the PBE level.

Values from the calculation:
The volume comes out at 36.5 A^3/atom. As for the magnetic moment: 0.000 μB per formula unit. The raw total energy is -3.465 eV/atom. The calculation puts the energy above the most stable polymorph in this dataset at 535 meV per atom. As for the crystal system: cubic.

Cell lengths 5.6727, 5.6727, 5.6727 Å; angles 90.00, 90.00, 90.00 degrees
Positions (direct):
Tb1 0.5000 0.5000 0.0000
Tb2 0.5000 0.0000 0.5000
Tb3 0.0000 0.0000 0.0000
Tb4 0.0000 0.5000 0.5000
Cd1 0.5000 0.5000 0.5000


11.
Below is NpFe2Ge after structural relaxation, with properties calculated at the PBE level.

Values from the calculation:
The volume comes out at 15.1 A^3/atom. As for the magnetic moment: 0.239 μB per formula unit. The raw total energy is -8.578 eV/atom. As for the crystal system: tetragonal.

Cell lengths 3.2748, 4.2924, 4.2924 Å; angles 90.00, 90.00, 90.00 degrees
Each line ends with the local moment (μB).
Positions (direct):
Fe1 0.0000 0.5000 0.0000  -1.67
Fe2 0.0000 0.0000 0.5000  -1.67
Ge1 0.5000 0.5000 0.5000  -0.01
Np1 0.5000 0.0000 0.0000  3.44


12.
Below is NpPaNi2 after structural relaxation, with properties calculated at the PBE level.

Values from the calculation:
The volume comes out at 18.0 A^3/atom. As for the magnetic moment: 3.753 μB per formula unit. The raw total energy is -8.065 eV/atom. As for the crystal system: trigonal.

Cell lengths 2.9177, 2.9177, 9.8902 Å; angles 81.52, 81.52, 60.00 degrees
Each line ends with the local moment (μB).
Positions (direct):
Pa1 0.5000 0.5000 0.5000  0.24
Ni1 0.0839 0.0839 0.7483  0.09
Ni2 0.9161 0.9161 0.2517  0.09
Np1 0.0000 0.0000 0.0000  3.23


13.
Below is Zn2FeTc after structural relaxation, with properties calculated at the PBE level.

Values from the calculation:
The volume comes out at 13.6 A^3/atom. As for the magnetic moment: 2.604 μB per formula unit. The raw total energy is -5.251 eV/atom. The calculation puts the energy above the most stable polymorph in this dataset at 87 meV per atom. As for the crystal system: monoclinic.

Cell lengths 4.2905, 2.5981, 4.9206 Å; angles 84.11, 90.00, 90.00 degrees
Each line ends with the local moment (μB).
Positions (direct):
Tc1 0.5000 0.7015 0.7531  0.21
Fe1 0.0000 0.5231 0.4966  2.46
Zn1 0.5000 0.1660 0.2615  -0.02
Zn2 0.0000 0.1094 0.9887  -0.03


14.
Below is Cs3WI after structural relaxation, with properties calculated at the PBE level.

Values from the calculation:
The volume comes out at 76.2 A^3/atom. Its uncorrected formation energy is 0.771 eV/atom. As for the magnetic moment: 5.901 μB per formula unit. The raw total energy is -2.642 eV/atom. The calculation puts the energy above the most stable polymorph in this dataset at 0 meV per atom. As for the crystal system: cubic.

Cell lengths 7.2481, 7.2481, 7.2481 Å; angles 90.00, 90.00, 90.00 degrees
Each line ends with the local moment (μB).
Positions (direct):
Cs1 0.0000 0.5000 0.0000  0.02
Cs2 0.0000 0.0000 0.5000  0.02
Cs3 0.5000 0.0000 0.0000  0.01
W1 0.5000 0.5000 0.5000  3.48
I1 0.0000 0.0000 0.0000  0.01


15.
Below is Ac3Al6Pt5 after structural relaxation, with properties calculated at the PBE level.

Values from the calculation:
The volume comes out at 21.5 A^3/atom. As for the magnetic moment: 0.000 μB per formula unit. The raw total energy is -5.646 eV/atom. As for the crystal system: orthorhombic.

Cell lengths 4.2757, 10.8882, 12.9577 Å; angles 90.00, 90.00, 90.00 degrees
Positions (direct):
Pt1 0.0000 0.8556 0.3284
Pt2 0.0000 0.8556 0.6716
Pt3 0.0000 0.8942 0.0000
Pt4 0.5000 0.1058 0.5000
Pt5 0.5000 0.4775 0.6121
Pt6 0.5000 0.1444 0.1716
Pt7 0.5000 0.4775 0.3879
Pt8 0.0000 0.5225 0.1121
Pt9 0.0000 0.5225 0.8879
Pt10 0.5000 0.1444 0.8284
Ac1 0.5000 0.7404 0.5000
Ac2 0.5000 0.7526 0.1585
Ac3 0.0000 0.2474 0.6585
Ac4 0.0000 0.2596 0.0000
Ac5 0.5000 0.7526 0.8415
Ac6 0.0000 0.2474 0.3415
Al1 0.5000 0.0169 0.0000
Al2 0.5000 0.9931 0.3285
Al3 0.0000 0.0069 0.1715
Al4 0.0000 0.0069 0.8285
Al5 0.5000 0.4224 0.8034
Al6 0.5000 0.5122 0.0000
Al7 0.0000 0.5776 0.3034
Al8 0.5000 0.4224 0.1966
Al9 0.0000 0.4878 0.5000
Al10 0.0000 0.5776 0.6966
Al11 0.0000 0.9831 0.5000
Al12 0.5000 0.9931 0.6715


16.
Below is ZrSb2N after structural relaxation, with properties calculated at the PBE level.

Values from the calculation:
The volume comes out at 21.0 A^3/atom. Its uncorrected formation energy is 0.341 eV/atom. As for the magnetic moment: 0.000 μB per formula unit. The raw total energy is -5.939 eV/atom. As for the crystal system: tetragonal.

Cell lengths 6.6475, 6.6475, 6.0440 Å; angles 56.64, 56.64, 90.00 degrees
Positions (direct):
Sb1 0.2093 0.6250 0.2500
Sb2 0.5407 0.1250 0.2500
Sb3 0.8750 0.7907 0.7500
Sb4 0.3750 0.4593 0.7500
Zr1 0.7500 0.2500 0.5000
Zr2 0.0000 0.0000 0.0000
N1 0.5000 0.5000 0.0000
N2 0.2500 0.7500 0.5000


17.
Below is Cs3TcO4 after structural relaxation, with properties calculated at the PBE level.

Values from the calculation:
The volume comes out at 26.7 A^3/atom. Its uncorrected formation energy is -1.516 eV/atom. As for the magnetic moment: 2.000 μB per formula unit. The raw total energy is -5.611 eV/atom. The calculation puts the energy above the most stable polymorph in this dataset at 6 meV per atom. As for the crystal system: orthorhombic.

Cell lengths 6.6737, 6.6737, 6.6737 Å; angles 92.41, 116.53, 120.75 degrees
Each line ends with the local moment (μB).
Positions (direct):
O1 0.1531 0.3325 0.4856  0.09
O2 0.0735 0.7245 0.3489  0.11
O3 0.6244 0.2755 0.3489  0.11
O4 0.1531 0.6675 0.8206  0.09
Cs1 0.5427 0.2356 0.7782  0.01
Cs2 0.0528 0.0000 0.0528  0.01
Cs3 0.5427 0.7644 0.3071  0.01
Tc1 0.0088 0.5000 0.5088  1.32


18.
Below is PmGa6Pt3 after structural relaxation, with properties calculated at the PBE level.

Values from the calculation:
The volume comes out at 18.2 A^3/atom. As for the magnetic moment: 0.000 μB per formula unit. The raw total energy is -4.803 eV/atom. As for the crystal system: monoclinic.

Cell lengths 4.3224, 8.8931, 9.5049 Å; angles 86.62, 90.00, 90.00 degrees
Positions (direct):
Pt1 0.2500 0.6044 0.1573
Pt2 0.7500 0.7240 0.5142
Pt3 0.2500 0.2760 0.4858
Pt4 0.2500 0.8247 0.8942
Pt5 0.7500 0.1753 0.1058
Pt6 0.7500 0.3956 0.8427
Pm1 0.2500 0.9454 0.2956
Pm2 0.7500 0.0546 0.7044
Ga1 0.2500 0.2900 0.7492
Ga2 0.2500 0.5721 0.4318
Ga3 0.7500 0.4640 0.0984
Ga4 0.2500 0.5360 0.9016
Ga5 0.2500 0.8290 0.6175
Ga6 0.2500 0.3098 0.2149
Ga7 0.7500 0.7100 0.2508
Ga8 0.7500 0.4279 0.5682
Ga9 0.7500 0.6902 0.7851
Ga10 0.7500 0.8971 0.0330
Ga11 0.7500 0.1710 0.3825
Ga12 0.2500 0.1029 0.9670


19.
Below is PmPrTh2Bi4 after structural relaxation, with properties calculated at the PBE level.

Values from the calculation:
The volume comes out at 34.5 A^3/atom. As for the magnetic moment: 0.000 μB per formula unit. The raw total energy is -5.757 eV/atom. As for the crystal system: tetragonal.

Cell lengths 6.5119, 6.5119, 7.9701 Å; angles 114.11, 114.11, 90.00 degrees
Positions (direct):
Bi1 0.7500 0.7500 0.5000
Bi2 0.4987 0.9987 0.9974
Bi3 0.2500 0.2500 0.5000
Bi4 0.0013 0.5013 0.0025
Pm1 0.5000 0.5000 0.0000
Pr1 0.7500 0.2500 0.5000
Th1 0.0000 0.0000 0.0000
Th2 0.2500 0.7500 0.5000


20.
Below is Eu2TlAu after structural relaxation, with properties calculated at the PBE level.

Values from the calculation:
The volume comes out at 28.7 A^3/atom. As for the magnetic moment: 14.283 μB per formula unit. The raw total energy is -7.103 eV/atom. The calculation puts the energy above the most stable polymorph in this dataset at 36 meV per atom. As for the crystal system: cubic.

Cell lengths 5.4529, 5.4529, 5.4529 Å; angles 60.00, 60.00, 60.00 degrees
Each line ends with the local moment (μB).
Positions (direct):
Eu1 0.7500 0.7500 0.7500  6.85
Eu2 0.2500 0.2500 0.2500  6.85
Au1 0.5000 0.5000 0.5000  0.01
Tl1 0.0000 0.0000 0.0000  0.04